Here is Sc2SiCl after structural relaxation from Alexandria. Energies are from PBE.

Lattice parameters (Å, degrees): 6.872 6.872 6.872 32.59 32.59 32.59
Fractional positions:
Sc (0.237, 0.237, 0.237)
Sc (0.763, 0.763, 0.763)
Si (0.500, 0.500, 0.500)
Cl (0.000, 0.000, 0.000)

Computed properties:
Total DFT energy (no corrections) = -5.991 eV/atom
Energy above the most stable polymorph in this dataset = 0 meV/atom
E_form (uncorrected) = -4.0 eV per formula unit

Here is ScSiCl2 after structural relaxation from Alexandria. Energies are from PBE.

Lattice parameters (Å, degrees): 9.332 9.332 9.332 20.49 20.49 20.49
Fractional positions:
Sc (0.000, 0.000, 0.000)
Si (0.260, 0.260, 0.260)
Cl (0.528, 0.528, 0.528)
Cl (0.727, 0.727, 0.727)

Computed properties:
Total DFT energy (no corrections) = -4.630 eV/atom
Energy above the most stable polymorph in this dataset = 181 meV/atom
E_form (uncorrected) = -3.1 eV per formula unit

Here is ScSiCl2 after structural relaxation from Alexandria. Energies are from PBE.

Lattice parameters (Å, degrees): 7.383 7.383 7.383 127.99 127.99 76.64
Fractional positions:
Sc (0.000, 0.000, 0.000)
Sc (0.750, 0.250, 0.500)
Si (0.250, 0.750, 0.500)
Si (0.500, 0.500, 0.000)
Cl (0.039, 0.625, 0.914)
Cl (0.375, 0.289, 0.414)
Cl (0.711, 0.125, 0.086)
Cl (0.875, 0.961, 0.586)

Computed properties:
Total DFT energy (no corrections) = -4.061 eV/atom
Energy above the most stable polymorph in this dataset = 750 meV/atom
E_form (uncorrected) = -0.8 eV per formula unit

Here is Sc2SiCl after structural relaxation from Alexandria. Energies are from PBE.

Lattice parameters (Å, degrees): 3.814 3.814 5.337 90.00 90.00 90.00
Fractional positions:
Sc (0.000, 0.000, 0.000)
Sc (0.500, 0.500, 0.500)
Si (0.000, 0.000, 0.500)
Cl (0.500, 0.500, 0.000)

Computed properties:
Total DFT energy (no corrections) = -5.965 eV/atom
Energy above the most stable polymorph in this dataset = 26 meV/atom
E_form (uncorrected) = -3.9 eV per formula unit

Here is ScSiCl2 after structural relaxation from Alexandria. Energies are from PBE.

Lattice parameters (Å, degrees): 4.285 4.285 4.320 90.00 90.00 90.00
Fractional positions:
Sc (0.000, 0.000, 0.000)
Si (0.500, 0.500, 0.000)
Cl (0.000, 0.500, 0.500)
Cl (0.500, 0.000, 0.500)

Computed properties:
Total DFT energy (no corrections) = -4.232 eV/atom
Energy above the most stable polymorph in this dataset = 579 meV/atom
E_form (uncorrected) = -1.5 eV per formula unit

Here is ScSi2Cl after structural relaxation from Alexandria. Energies are from PBE.

Lattice parameters (Å, degrees): 5.082 5.082 3.028 90.00 90.00 114.73
Fractional positions:
Sc (0.000, 0.000, 0.000)
Si (0.000, 0.500, 0.500)
Si (0.500, 0.000, 0.500)
Cl (0.500, 0.500, 0.000)

Computed properties:
Total DFT energy (no corrections) = -4.802 eV/atom
Energy above the most stable polymorph in this dataset = 553 meV/atom
E_form (uncorrected) = -0.2 eV per formula unit

> Number 1 is which compound?

Sc2SiCl